#i
# ZrC5

A geometry-optimized ZrC5 structure (PBE, Alexandria).

The value obtained for the density of states at the Fermi level is 1.18 states/eV/f.u. For the volume, the calculation gives 48.2 Å³/f.u.

The space group is P6/mmm (No. 191) and the conventional cell measures 4.6352, 4.6352 and 2.5895 Å, with angles of 90.00, 90.00 and 120.00 degrees. The inequivalent atoms are Zr at (0.0000, 0.0000, 0.0000), C at (0.0000, 0.5000, 0.5000) and C at (0.3333, 0.6667, 0.0000).



#ii
# ZrC5

A geometry-optimized ZrC5 structure (PBE, Alexandria).

The value obtained for the density of states at the Fermi level is 3.87 states/eV/f.u. For the volume, the calculation gives 55.0 Å³/f.u.

The space group is F-43m (No. 216) and the conventional cell measures 6.037, 6.037 and 6.037 Å, with angles of 90.00, 90.00 and 90.00 degrees. The inequivalent atoms are Zr at (0.000, 0.000, 0.000), C at (0.091, 0.091, 0.409) and C at (0.250, 0.250, 0.750).



#ii is favored, and the nearest alternative lies 0.374 eV/atom above it.



#i
# Zr3C4

A geometry-optimized Zr3C4 structure (PBE, Alexandria).

The value obtained for the density of states at the Fermi level is 3.51 states/eV/f.u. For the volume, the calculation gives 102.4 Å³/f.u.

The space group is Pm-3m (No. 221) and the conventional cell measures 4.678, 4.678 and 4.678 Å, with angles of 90.00, 90.00 and 90.00 degrees. The inequivalent atoms are Zr at (0.000, 0.000, 0.500), C at (0.000, 0.000, 0.000) and C at (0.000, 0.500, 0.500).



#ii
# Zr3C4

A geometry-optimized Zr3C4 structure (PBE, Alexandria).

The value obtained for the density of states at the Fermi level is 2.02 states/eV/f.u. For the volume, the calculation gives 89.8 Å³/f.u.

The space group is I4/mmm (No. 139) and the conventional cell measures 3.332, 3.332 and 16.180 Å, with angles of 90.00, 90.00 and 90.00 degrees. The inequivalent atoms are Zr at (0.000, 0.000, 0.000), Zr at (0.000, 0.000, 0.322), C at (0.000, 0.000, 0.175) and C at (0.000, 0.000, 0.459).



#ii is favored, and the nearest alternative lies 0.611 eV/atom above it.



#i
# Zr3C4

A geometry-optimized Zr3C4 structure (PBE, Alexandria).

The value obtained for the density of states at the Fermi level is 5.38 states/eV/f.u. For the volume, the calculation gives 137.0 Å³/f.u.

The space group is P-43m (No. 215) and the conventional cell measures 5.155, 5.155 and 5.155 Å, with angles of 90.00, 90.00 and 90.00 degrees. The inequivalent atoms are Zr at (0.000, 0.000, 0.500) and C at (0.231, 0.231, 0.231).



#ii
# Zr3C4

A geometry-optimized Zr3C4 structure (PBE, Alexandria).

The value obtained for the density of states at the Fermi level is 4.63 states/eV/f.u. For the volume, the calculation gives 96.7 Å³/f.u.

The space group is P6/mmm (No. 191) and the conventional cell measures 6.1878, 6.1878 and 2.9162 Å, with angles of 90.00, 90.00 and 120.00 degrees. The inequivalent atoms are Zr at (0.0000, 0.5000, 0.0000), C at (0.0000, 0.0000, 0.2534) and C at (0.3333, 0.6667, 0.5000).



#ii is favored, and the nearest alternative lies 0.402 eV/atom above it.



#i
# Zr5C4

A geometry-optimized Zr5C4 structure (PBE, Alexandria).

The value obtained for the density of states at the Fermi level is 4.90 states/eV/f.u. For the volume, the calculation gives 123.8 Å³/f.u.

The space group is P6_3/mcm (No. 193) and the conventional cell measures 7.1427, 7.1427 and 5.6036 Å, with angles of 90.00, 90.00 and 120.00 degrees. The inequivalent atoms are Zr at (0.0000, 0.2469, 0.2500), Zr at (0.3333, 0.6667, 0.0000), C at (0.0000, 0.0000, 0.0000) and C at (0.0000, 0.3973, 0.7500).



#ii
# Zr5C4

A geometry-optimized Zr5C4 structure (PBE, Alexandria).

The value obtained for the density of states at the Fermi level is 6.91 states/eV/f.u. For the volume, the calculation gives 160.4 Å³/f.u.

The space group is I4/mmm (No. 139) and the conventional cell measures 7.734, 7.734 and 5.363 Å, with angles of 90.00, 90.00 and 90.00 degrees. The inequivalent atoms are Zr at (0.000, 0.000, 0.000), Zr at (0.215, 0.215, 0.500) and C at (0.000, 0.284, 0.000).



#i is favored, and the nearest alternative lies 0.937 eV/atom above it.



#i
# Zr5C

A geometry-optimized Zr5C structure (PBE, Alexandria).

The value obtained for the density of states at the Fermi level is 6.78 states/eV/f.u. For the volume, the calculation gives 122.3 Å³/f.u.

The space group is Cm (No. 8) and the conventional cell measures 10.651, 3.187 and 7.398 Å, with angles of 90.00, 102.97 and 90.00 degrees. The inequivalent atoms are Zr at (0.000, 0.000, 0.000), Zr at (0.089, 0.000, 0.418), Zr at (0.201, 0.500, 0.790), Zr at (0.294, 0.500, 0.219), Zr at (0.396, 0.000, 0.623) and C at (0.340, 0.000, 0.947).



#ii
# Zr5C

A geometry-optimized Zr5C structure (PBE, Alexandria).

The value obtained for the density of states at the Fermi level is 7.25 states/eV/f.u. For the volume, the calculation gives 134.4 Å³/f.u.

The space group is P-62m (No. 189) and the conventional cell measures 6.9115, 6.9115 and 3.2494 Å, with angles of 90.00, 90.00 and 120.00 degrees. The inequivalent atoms are Zr at (0.0000, 0.7514, 0.0000), Zr at (0.3333, 0.6667, 0.5000) and C at (0.0000, 0.0000, 0.5000).



#i is favored, and the nearest alternative lies 0.536 eV/atom above it.



#i
# CaCd12

A geometry-optimized CaCd12 structure (PBE, Alexandria).

The value obtained for the density of states at the Fermi level is 4.31 states/eV/f.u. For the volume, the calculation gives 303.8 Å³/f.u.

The space group is I4/mmm (No. 139) and the conventional cell measures 10.080, 10.080 and 5.980 Å, with angles of 90.00, 90.00 and 90.00 degrees. The inequivalent atoms are Ca at (0.000, 0.000, 0.000), Cd at (0.000, 0.213, 0.500), Cd at (0.000, 0.352, 0.000) and Cd at (0.250, 0.250, 0.250).



#ii
# CaCd12

A geometry-optimized CaCd12 structure (PBE, Alexandria).

The value obtained for the density of states at the Fermi level is 7.90 states/eV/f.u. For the volume, the calculation gives 440.2 Å³/f.u.

The space group is Fm-3m (No. 225) and the conventional cell measures 12.075, 12.075 and 12.075 Å, with angles of 90.00, 90.00 and 90.00 degrees. The inequivalent atoms are Ca at (0.000, 0.000, 0.000) and Cd at (0.000, 0.170, 0.330).



#i is favored, and the nearest alternative lies 0.343 eV/atom above it.



#i
# Ca5Cd4

A geometry-optimized Ca5Cd4 structure (PBE, Alexandria).

The value obtained for the density of states at the Fermi level is 6.78 states/eV/f.u. For the volume, the calculation gives 286.4 Å³/f.u.

The space group is C2/m (No. 12) and the conventional cell measures 11.602, 4.863 and 10.966 Å, with angles of 90.00, 112.22 and 90.00 degrees. The inequivalent atoms are Ca at (0.000, 0.000, 0.000), Ca at (0.102, 0.000, 0.392), Ca at (0.250, 0.000, 0.826), Cd at (0.055, 0.500, 0.843) and Cd at (0.120, 0.500, 0.611).



#ii
# Ca5Cd4

A geometry-optimized Ca5Cd4 structure (PBE, Alexandria).

The value obtained for the density of states at the Fermi level is 6.29 states/eV/f.u. For the volume, the calculation gives 264.8 Å³/f.u.

The space group is I4/mmm (No. 139) and the conventional cell measures 10.147, 10.147 and 5.144 Å, with angles of 90.00, 90.00 and 90.00 degrees. The inequivalent atoms are Ca at (0.000, 0.000, 0.000), Ca at (0.174, 0.174, 0.500) and Cd at (0.000, 0.343, 0.000).



#i is favored, and the nearest alternative lies 0.091 eV/atom above it.



#i
# Ca2CeCd3

A geometry-optimized Ca2CeCd3 structure (PBE, Alexandria).

The value obtained for the density of states at the Fermi level is 9.89 states/eV/f.u. For the volume, the calculation gives 168.4 Å³/f.u.

The space group is P4/mmm (No. 123) and the conventional cell measures 3.741, 3.741 and 12.030 Å, with angles of 90.00, 90.00 and 90.00 degrees. The inequivalent atoms are Ca at (0.000, 0.000, 0.163), Ce at (0.000, 0.000, 0.500), Cd at (0.500, 0.500, 0.000) and Cd at (0.500, 0.500, 0.330).



#ii
# Ca2CeCd3

A geometry-optimized Ca2CeCd3 structure (PBE, Alexandria).

The value obtained for the density of states at the Fermi level is 8.84 states/eV/f.u. For the volume, the calculation gives 169.5 Å³/f.u.

The space group is P-3m1 (No. 164) and the conventional cell measures 5.4200, 5.4200 and 6.6635 Å, with angles of 90.00, 90.00 and 120.00 degrees. The inequivalent atoms are Ca at (0.3333, 0.6667, 0.1614), Ce at (0.0000, 0.0000, 0.5000), Cd at (0.0000, 0.0000, 0.0000) and Cd at (0.3333, 0.6667, 0.6625).



#ii is favored, and the nearest alternative lies 0.007 eV/atom above it.



#i
# CaCeCdSn

A geometry-optimized CaCeCdSn structure (PBE, Alexandria).

The value obtained for the density of states at the Fermi level is 8.27 states/eV/f.u. For the volume, the calculation gives 113.3 Å³/f.u.

The space group is F-43m (No. 216) and the conventional cell measures 7.682, 7.682 and 7.682 Å, with angles of 90.00, 90.00 and 90.00 degrees. The inequivalent atoms are Ca at (0.000, 0.000, 0.000), Ce at (0.000, 0.000, 0.500), Cd at (0.250, 0.250, 0.750) and Sn at (0.250, 0.250, 0.250).



#ii
# CaCeCdSn

A geometry-optimized CaCeCdSn structure (PBE, Alexandria).

The value obtained for the density of states at the Fermi level is 8.13 states/eV/f.u. For the volume, the calculation gives 114.1 Å³/f.u.

The space group is Pmmm (No. 47) and the conventional cell measures 4.187, 5.115 and 5.328 Å, with angles of 90.00, 90.00 and 90.00 degrees. The inequivalent atoms are Ca at (0.000, 0.000, 0.000), Ce at (0.000, 0.500, 0.500), Cd at (0.500, 0.500, 0.000) and Sn at (0.500, 0.000, 0.500).



#i is favored, and the nearest alternative lies 0.009 eV/atom above it.



#i
# Ca2Cd2Cl

A geometry-optimized Ca2Cd2Cl structure (PBE, Alexandria).

The value obtained for the density of states at the Fermi level is 3.80 states/eV/f.u. For the volume, the calculation gives 150.3 Å³/f.u.

The space group is I4/mmm (No. 139) and the conventional cell measures 4.102, 4.102 and 17.870 Å, with angles of 90.00, 90.00 and 90.00 degrees. The inequivalent atoms are Ca at (0.000, 0.000, 0.108), Cd at (0.000, 0.500, 0.250) and Cl at (0.000, 0.000, 0.500).



#ii
# Ca2Cd2Cl

A geometry-optimized Ca2Cd2Cl structure (PBE, Alexandria).

The value obtained for the density of states at the Fermi level is 4.46 states/eV/f.u. For the volume, the calculation gives 151.4 Å³/f.u.

The space group is P4/mbm (No. 127) and the conventional cell measures 7.685, 7.685 and 5.127 Å, with angles of 90.00, 90.00 and 90.00 degrees. The inequivalent atoms are Ca at (0.175, 0.325, 0.000), Cd at (0.131, 0.631, 0.500) and Cl at (0.000, 0.000, 0.000).



#ii is favored, and the nearest alternative lies 0.154 eV/atom above it.



#i
# CaCd3Cl

A geometry-optimized CaCd3Cl structure (PBE, Alexandria).

The value obtained for the density of states at the Fermi level is 2.28 states/eV/f.u. For the volume, the calculation gives 169.2 Å³/f.u.

The space group is Pm-3m (No. 221) and the conventional cell measures 5.531, 5.531 and 5.531 Å, with angles of 90.00, 90.00 and 90.00 degrees. The inequivalent atoms are Ca at (0.000, 0.000, 0.000), Cd at (0.000, 0.500, 0.500) and Cl at (0.500, 0.500, 0.500).



#ii
# CaCd3Cl

A geometry-optimized CaCd3Cl structure (PBE, Alexandria).

The value obtained for the density of states at the Fermi level is 2.42 states/eV/f.u. For the volume, the calculation gives 239.4 Å³/f.u.

The space group is Pm-3m (No. 221) and the conventional cell measures 6.209, 6.209 and 6.209 Å, with angles of 90.00, 90.00 and 90.00 degrees. The inequivalent atoms are Ca at (0.000, 0.000, 0.000), Cd at (0.000, 0.000, 0.500) and Cl at (0.500, 0.500, 0.500).



#i is favored, and the nearest alternative lies 0.101 eV/atom above it.



#i
# Cs2CaCdCl6

A geometry-optimized Cs2CaCdCl6 structure (PBE, Alexandria).

The value obtained for the density of states at the Fermi level is 0.00 states/eV/f.u. For the volume, the calculation gives 314.2 Å³/f.u.

The space group is Fm-3m (No. 225) and the conventional cell measures 10.791, 10.791 and 10.791 Å, with angles of 90.00, 90.00 and 90.00 degrees. The inequivalent atoms are Cs at (0.250, 0.250, 0.250), Ca at (0.000, 0.000, 0.000), Cd at (0.000, 0.000, 0.500) and Cl at (0.000, 0.000, 0.253).



#ii
# Cs2CaCdCl6

A geometry-optimized Cs2CaCdCl6 structure (PBE, Alexandria).

The value obtained for the density of states at the Fermi level is 0.00 states/eV/f.u. For the volume, the calculation gives 336.2 Å³/f.u.

The space group is P-3m1 (No. 164) and the conventional cell measures 7.5737, 7.5737 and 6.7685 Å, with angles of 90.00, 90.00 and 120.00 degrees. The inequivalent atoms are Cs at (0.3333, 0.6667, 0.2088), Ca at (0.0000, 0.0000, 0.5000), Cd at (0.0000, 0.0000, 0.0000) and Cl at (0.1610, 0.3221, 0.7582).



#i is favored, and the nearest alternative lies 0.006 eV/atom above it.